1.
# Hf2SiN | OQMD via LeMat-Bulk | PBE | optimized geometry
data_Hf2SiN
_cell_length_a 9.5969
_cell_length_b 5.5442
_cell_length_c 13.7262
_cell_angle_alpha 90.00
_cell_angle_beta 103.50
_cell_angle_gamma 90.00
_space_group_name_H-M_alt 'C 1 2/c 1'
_space_group_IT_number 15
_space_group_name_Hall '-C 2yc'
loop_
_atom_site_label
_atom_site_fract_x
_atom_site_fract_y
_atom_site_fract_z
Hf1 0.0513 0.0833 0.4040
Hf2 0.1153 0.4170 0.5958
Hf3 0.2181 0.4169 0.9042
Si1 0.0000 0.4184 0.2500
Si2 0.1665 0.0845 0.7500
N1 0.0832 0.2499 0.0000
N2 0.2500 0.2500 0.5000
# total magnetization = 0.0 μB/f.u.
# electronic total energy = -9.54 eV/atom



2.
# DyFeAg | OQMD via LeMat-Bulk | PBE | optimized geometry
data_DyFeAg
_cell_length_a 6.6165
_cell_length_b 6.6165
_cell_length_c 6.6165
_cell_angle_alpha 90.00
_cell_angle_beta 90.00
_cell_angle_gamma 90.00
_space_group_name_H-M_alt 'F -4 3 m'
_space_group_IT_number 216
_space_group_name_Hall 'F -4 2 3'
loop_
_atom_site_label
_atom_site_fract_x
_atom_site_fract_y
_atom_site_fract_z
Dy1 0.0000 0.0000 0.0000
Fe1 0.2500 0.2500 0.2500
Ag1 0.2500 0.2500 0.7500
# total magnetization = 2.3 μB/f.u.
# electronic total energy = -4.45 eV/atom
# energy of formation from the pure elements = 76.98 kJ per mole of atoms



3.
# DyErSi2W2C | OQMD via LeMat-Bulk | PBE | optimized geometry
data_DyErSi2W2C
_cell_length_a 11.0962
_cell_length_b 3.8194
_cell_length_c 7.0909
_cell_angle_alpha 90.00
_cell_angle_beta 125.27
_cell_angle_gamma 90.00
_space_group_name_H-M_alt 'C 1 m 1'
_space_group_IT_number 8
_space_group_name_Hall 'C -2y'
loop_
_atom_site_label
_atom_site_fract_x
_atom_site_fract_y
_atom_site_fract_z
Dy1 0.0000 0.0000 0.0000
Er1 0.3511 0.5000 0.4094
Si1 0.0565 0.5000 0.3641
Si2 0.2945 0.0000 0.0453
W1 0.1329 0.5000 0.7896
W2 0.2180 0.0000 0.6192
C1 0.4254 0.0000 0.7042
# total magnetization = 0.0 μB/f.u.
# electronic total energy = -8.42 eV/atom



4.
# GdMoOs | OQMD via LeMat-Bulk | PBE | optimized geometry
data_GdMoOs
_cell_length_a 6.3940
_cell_length_b 6.3940
_cell_length_c 6.3940
_cell_angle_alpha 90.00
_cell_angle_beta 90.00
_cell_angle_gamma 90.00
_space_group_name_H-M_alt 'F -4 3 m'
_space_group_IT_number 216
_space_group_name_Hall 'F -4 2 3'
loop_
_atom_site_label
_atom_site_fract_x
_atom_site_fract_y
_atom_site_fract_z
Gd1 0.0000 0.0000 0.0000
Mo1 0.2500 0.2500 0.7500
Os1 0.2500 0.2500 0.2500
# total magnetization = 2.1 μB/f.u.
# electronic total energy = -7.27 eV/atom
# energy of formation from the pure elements = 158.21 kJ per mole of atoms



5.
# MgSc2Cd2Hg2Au | OQMD via LeMat-Bulk | PBE | optimized geometry
data_MgSc2Cd2Hg2Au
_cell_length_a 4.8681
_cell_length_b 4.8681
_cell_length_c 6.9518
_cell_angle_alpha 90.00
_cell_angle_beta 90.00
_cell_angle_gamma 90.00
_space_group_name_H-M_alt 'P -4 m 2'
_space_group_IT_number 115
_space_group_name_Hall 'P -4 -2'
loop_
_atom_site_label
_atom_site_fract_x
_atom_site_fract_y
_atom_site_fract_z
Mg1 0.0000 0.0000 0.0000
Sc1 0.0000 0.0000 0.5000
Sc2 0.5000 0.5000 0.0000
Cd1 0.0000 0.5000 0.7448
Hg1 0.0000 0.5000 0.2451
Au1 0.5000 0.5000 0.5000
# total magnetization = 0.0 μB/f.u.
# electronic total energy = -2.80 eV/atom



6.
# InAgTeMoS2 | OQMD via LeMat-Bulk | PBE | optimized geometry
data_InAgTeMoS2
_cell_length_a 3.4005
_cell_length_b 15.8369
_cell_length_c 10.5788
_cell_angle_alpha 90.00
_cell_angle_beta 90.00
_cell_angle_gamma 90.00
_space_group_name_H-M_alt 'C m c m'
_space_group_IT_number 63
_space_group_name_Hall '-C 2c 2'
loop_
_atom_site_label
_atom_site_fract_x
_atom_site_fract_y
_atom_site_fract_z
In1 0.0000 0.2371 0.2500
Ag1 0.0000 0.4273 0.7500
Te1 0.0000 0.0774 0.7500
Mo1 0.0000 0.0000 0.0000
S1 0.0000 0.3889 0.5249
# total magnetization = 1.2 μB/f.u.
# electronic total energy = -4.74 eV/atom



7.
# KW2N2 | OQMD via LeMat-Bulk | PBE | optimized geometry
data_KW2N2
_cell_length_a 3.1253
_cell_length_b 3.1253
_cell_length_c 17.2359
_cell_angle_alpha 90.00
_cell_angle_beta 90.00
_cell_angle_gamma 120.00
_space_group_name_H-M_alt 'P 63/m m c'
_space_group_IT_number 194
_space_group_name_Hall '-P 6c 2c'
loop_
_atom_site_label
_atom_site_fract_x
_atom_site_fract_y
_atom_site_fract_z
K1 0.0000 0.0000 0.0000
W1 0.3333 0.6667 0.1765
N1 0.3333 0.6667 0.6218
# total magnetization = 0.0 μB/f.u.
# electronic total energy = -8.74 eV/atom



8.
# Li2Pm2O5 | OQMD via LeMat-Bulk | PBE | optimized geometry
data_Li2Pm2O5
_cell_length_a 4.1969
_cell_length_b 4.1969
_cell_length_c 8.2389
_cell_angle_alpha 90.00
_cell_angle_beta 90.00
_cell_angle_gamma 90.00
_space_group_name_H-M_alt 'P 4/m m m'
_space_group_IT_number 123
_space_group_name_Hall '-P 4 2'
loop_
_atom_site_label
_atom_site_fract_x
_atom_site_fract_y
_atom_site_fract_z
Li1 0.0000 0.0000 0.0000
Li2 0.0000 0.0000 0.5000
Pm1 0.5000 0.5000 0.2283
O1 0.0000 0.5000 0.1355
O2 0.5000 0.5000 0.5000
# total magnetization = 2.0 μB/f.u.
# electronic total energy = -6.17 eV/atom
# distance to the lowest polymorph of the same formula = 0.287 eV/atom



9.
# TbYTl4 | OQMD via LeMat-Bulk | PBE | optimized geometry
data_TbYTl4
_cell_length_a 4.6775
_cell_length_b 4.6953
_cell_length_c 14.6055
_cell_angle_alpha 90.00
_cell_angle_beta 90.00
_cell_angle_gamma 90.00
_space_group_name_H-M_alt 'A m m 2'
_space_group_IT_number 38
_space_group_name_Hall 'A 2 -2'
loop_
_atom_site_label
_atom_site_fract_x
_atom_site_fract_y
_atom_site_fract_z
Tb1 0.0000 0.0000 0.0000
Y1 0.0000 0.0000 0.3102
Tl1 0.0000 0.0000 0.6551
Tl2 0.5000 0.0000 0.1551
Tl3 0.5000 0.0000 0.4788
Tl4 0.5000 0.0000 0.8314
# total magnetization = 0.0 μB/f.u.
# electronic total energy = -3.71 eV/atom



10.
# TlSb5Ir3 | OQMD via LeMat-Bulk | PBE | optimized geometry
data_TlSb5Ir3
_cell_length_a 5.6621
_cell_length_b 5.6621
_cell_length_c 8.0751
_cell_angle_alpha 90.00
_cell_angle_beta 90.00
_cell_angle_gamma 120.00
_space_group_name_H-M_alt 'P 6/m m m'
_space_group_IT_number 191
_space_group_name_Hall '-P 6 2'
loop_
_atom_site_label
_atom_site_fract_x
_atom_site_fract_y
_atom_site_fract_z
Tl1 0.0000 0.0000 0.0000
Sb1 0.0000 0.0000 0.5000
Sb2 0.3333 0.6667 0.2252
Ir1 0.0000 0.5000 0.5000
# total magnetization = 0.0 μB/f.u.
# electronic total energy = -5.49 eV/atom



11.
# Rb3FeS3 | OQMD via LeMat-Bulk | PBE | optimized geometry
data_Rb3FeS3
_cell_length_a 7.9975
_cell_length_b 13.0216
_cell_length_c 10.3657
_cell_angle_alpha 90.00
_cell_angle_beta 127.52
_cell_angle_gamma 90.00
_space_group_name_H-M_alt 'P 1 21/c 1'
_space_group_IT_number 14
_space_group_name_Hall '-P 2ybc'
loop_
_atom_site_label
_atom_site_fract_x
_atom_site_fract_y
_atom_site_fract_z
Rb1 0.1114 0.1352 0.4816
Rb2 0.1444 0.0736 0.8922
Rb3 0.3685 0.6939 0.5797
Fe1 0.4404 0.0535 0.3531
S1 0.1610 0.1606 0.2006
S2 0.3642 0.6079 0.8838
S3 0.3828 0.5461 0.2508
# total magnetization = 4.0 μB/f.u.
# electronic total energy = -4.27 eV/atom
# distance to the lowest polymorph of the same formula = 0.003 eV/atom



12.
# HoNbN2O | OQMD via LeMat-Bulk | PBE | optimized geometry
data_HoNbN2O
_cell_length_a 3.8158
_cell_length_b 3.7137
_cell_length_c 4.8116
_cell_angle_alpha 90.00
_cell_angle_beta 90.51
_cell_angle_gamma 90.00
_space_group_name_H-M_alt 'P 1 m 1'
_space_group_IT_number 6
_space_group_name_Hall 'P -2y'
loop_
_atom_site_label
_atom_site_fract_x
_atom_site_fract_y
_atom_site_fract_z
Ho1 0.0000 0.0000 0.0000
Nb1 0.5120 0.5000 0.4308
N1 0.0089 0.5000 0.2933
N2 0.5212 0.5000 0.8184
O1 0.5056 0.0000 0.2632
# total magnetization = 0.0 μB/f.u.
# electronic total energy = -8.92 eV/atom



13.
# Li6HgPd | OQMD via LeMat-Bulk | PBE | optimized geometry
data_Li6HgPd
_cell_length_a 4.3956
_cell_length_b 4.3956
_cell_length_c 6.2481
_cell_angle_alpha 90.00
_cell_angle_beta 90.00
_cell_angle_gamma 90.00
_space_group_name_H-M_alt 'P 4/m m m'
_space_group_IT_number 123
_space_group_name_Hall '-P 4 2'
loop_
_atom_site_label
_atom_site_fract_x
_atom_site_fract_y
_atom_site_fract_z
Li1 0.0000 0.0000 0.0000
Li2 0.0000 0.5000 0.2356
Li3 0.5000 0.5000 0.5000
Hg1 0.0000 0.0000 0.5000
Pd1 0.5000 0.5000 0.0000
# electronic total energy = -2.40 eV/atom



14.
# ZnBrCl | OQMD via LeMat-Bulk | PBE | optimized geometry
data_ZnBrCl
_cell_length_a 3.7631
_cell_length_b 3.8813
_cell_length_c 11.9112
_cell_angle_alpha 90.00
_cell_angle_beta 90.00
_cell_angle_gamma 90.00
_space_group_name_H-M_alt 'P m m n'
_space_group_IT_number 59
loop_
_space_group_symop_operation_xyz
'x,y,z'
'-x,-y,-z'
'-x+1/2,-y+1/2,z'
'x+1/2,y+1/2,-z'
'x+1/2,-y,-z'
'-x+1/2,y,z'
'-x,y+1/2,-z'
'x,-y+1/2,z'
loop_
_atom_site_label
_atom_site_fract_x
_atom_site_fract_y
_atom_site_fract_z
Zn1 0.2500 0.2500 0.2455
Br1 0.2500 0.7500 0.3698
Cl1 0.2500 0.7500 0.8671
# electronic total energy = -2.60 eV/atom



15.
# HfGaAg2 | OQMD via LeMat-Bulk | PBE | optimized geometry
data_HfGaAg2
_cell_length_a 6.6129
_cell_length_b 6.6129
_cell_length_c 6.6129
_cell_angle_alpha 90.00
_cell_angle_beta 90.00
_cell_angle_gamma 90.00
_space_group_name_H-M_alt 'F -4 3 m'
_space_group_IT_number 216
_space_group_name_Hall 'F -4 2 3'
loop_
_atom_site_label
_atom_site_fract_x
_atom_site_fract_y
_atom_site_fract_z
Hf1 0.0000 0.0000 0.0000
Ga1 0.2500 0.2500 0.7500
Ag1 0.0000 0.0000 0.5000
Ag2 0.2500 0.2500 0.2500
# total magnetization = 0.0 μB/f.u.
# electronic total energy = -4.74 eV/atom



16.
# KZrPdSe3 | OQMD via LeMat-Bulk | PBE | optimized geometry
data_KZrPdSe3
_cell_length_a 15.0373
_cell_length_b 3.8960
_cell_length_c 10.5390
_cell_angle_alpha 90.00
_cell_angle_beta 90.00
_cell_angle_gamma 90.00
_space_group_name_H-M_alt 'P n m a'
_space_group_IT_number 62
_space_group_name_Hall '-P 2ac 2n'
loop_
_atom_site_label
_atom_site_fract_x
_atom_site_fract_y
_atom_site_fract_z
K1 0.2354 0.2500 0.0481
Zr1 0.0177 0.2500 0.3246
Pd1 0.0061 0.7500 0.0989
Se1 0.0898 0.2500 0.5692
Se2 0.0965 0.7500 0.8716
Se3 0.1357 0.7500 0.2648
# total magnetization = 0.0 μB/f.u.
# electronic total energy = -5.32 eV/atom



17.
# ZrPbC2 | OQMD via LeMat-Bulk | PBE | optimized geometry
data_ZrPbC2
_cell_length_a 3.4077
_cell_length_b 3.4077
_cell_length_c 5.0659
_cell_angle_alpha 90.00
_cell_angle_beta 90.00
_cell_angle_gamma 90.00
_space_group_name_H-M_alt 'P 4/m m m'
_space_group_IT_number 123
_space_group_name_Hall '-P 4 2'
loop_
_atom_site_label
_atom_site_fract_x
_atom_site_fract_y
_atom_site_fract_z
Zr1 0.0000 0.0000 0.0000
Pb1 0.5000 0.5000 0.5000
C1 0.0000 0.0000 0.5000
C2 0.5000 0.5000 0.0000
# total magnetization = 0.0 μB/f.u.
# electronic total energy = -6.90 eV/atom



18.
# SmGdTl | OQMD via LeMat-Bulk | PBE | optimized geometry
data_SmGdTl
_cell_length_a 5.4811
_cell_length_b 5.4811
_cell_length_c 6.8131
_cell_angle_alpha 90.00
_cell_angle_beta 90.00
_cell_angle_gamma 120.00
_space_group_name_H-M_alt 'P 63/m m c'
_space_group_IT_number 194
_space_group_name_Hall '-P 6c 2c'
loop_
_atom_site_label
_atom_site_fract_x
_atom_site_fract_y
_atom_site_fract_z
Sm1 0.3333 0.6667 0.2500
Gd1 0.0000 0.0000 0.0000
Tl1 0.3333 0.6667 0.7500
# total magnetization = 0.8 μB/f.u.
# electronic total energy = -4.18 eV/atom
# distance to the lowest polymorph of the same formula = 0.002 eV/atom



19.
# TaBeFeGe | OQMD via LeMat-Bulk | PBE | optimized geometry
data_TaBeFeGe
_cell_length_a 5.8963
_cell_length_b 5.8963
_cell_length_c 5.8963
_cell_angle_alpha 90.00
_cell_angle_beta 90.00
_cell_angle_gamma 90.00
_space_group_name_H-M_alt 'F -4 3 m'
_space_group_IT_number 216
_space_group_name_Hall 'F -4 2 3'
loop_
_atom_site_label
_atom_site_fract_x
_atom_site_fract_y
_atom_site_fract_z
Ta1 0.0000 0.0000 0.0000
Be1 0.2500 0.2500 0.2500
Fe1 0.2500 0.2500 0.7500
Ge1 0.0000 0.0000 0.5000
# total magnetization = 0.9 μB/f.u.
# electronic total energy = -7.09 eV/atom
# distance to the lowest polymorph of the same formula = 0.000 eV/atom



20.
# K3LuP2O8 | OQMD via LeMat-Bulk | PBE | optimized geometry
data_K3LuP2O8
_cell_length_a 9.5855
_cell_length_b 9.5855
_cell_length_c 7.5899
_cell_angle_alpha 90.00
_cell_angle_beta 90.00
_cell_angle_gamma 120.00
_space_group_name_H-M_alt 'P -3'
_space_group_IT_number 147
_space_group_name_Hall '-P 3'
loop_
_atom_site_label
_atom_site_fract_x
_atom_site_fract_y
_atom_site_fract_z
K1 0.0000 0.0000 0.0000
K2 0.0043 0.3368 0.2577
K3 0.3333 0.6667 0.0070
Lu1 0.0000 0.0000 0.5000
Lu2 0.3333 0.6667 0.5333
P1 0.0116 0.6716 0.2630
O1 0.0079 0.1852 0.6699
O2 0.0680 0.6996 0.0725
O3 0.1410 0.6618 0.3800
O4 0.1523 0.4866 0.7113
# total magnetization = 0.0 μB/f.u.
# electronic total energy = -6.77 eV/atom



21.
# ZrGa2Co | OQMD via LeMat-Bulk | PBE | optimized geometry
data_ZrGa2Co
_cell_length_a 6.2805
_cell_length_b 6.2805
_cell_length_c 6.2805
_cell_angle_alpha 90.00
_cell_angle_beta 90.00
_cell_angle_gamma 90.00
_space_group_name_H-M_alt 'F -4 3 m'
_space_group_IT_number 216
_space_group_name_Hall 'F -4 2 3'
loop_
_atom_site_label
_atom_site_fract_x
_atom_site_fract_y
_atom_site_fract_z
Zr1 0.0000 0.0000 0.0000
Ga1 0.0000 0.0000 0.5000
Ga2 0.2500 0.2500 0.7500
Co1 0.2500 0.2500 0.2500
# total magnetization = 0.0 μB/f.u.
# electronic total energy = -5.67 eV/atom